CoSb2IO | PBE with a Hubbard U | relaxed

Cell and atoms, written as POSCAR:
```
CoSb2IO
1.0
4.4176 0.0000 0.0000
0.0000 4.4176 0.0000
0.0000 0.0000 6.9390
O Co Sb I
1 1 2 1
Cartesian
0.0000 0.0000 0.0000
2.2088 2.2088 3.4695
2.2088 0.0000 0.0000
0.0000 2.2088 0.0000
0.0000 0.0000 3.4695
```

Values from the calculation:
VASP energy: -18.0 eV/cell
V: 135 Å³/cell
Symmetry: P4/mmm, No. 123
Total magnetization: 2.1 μB per formula unit